! PBE-GGA SrAl2Au, optimized geometry; values from VASP
&SYSTEM
  ibrav = 0, nat = 4, ntyp = 3
/
ATOMIC_SPECIES
Sr 87.62 Sr.upf
Al 26.98 Al.upf
Au 196.97 Au.upf
CELL_PARAMETERS angstrom
4.294 0.000 0.000
0.000 1.774 6.305
0.000 -1.774 6.305
ATOMIC_POSITIONS angstrom
Sr 0.000 0.000 0.000
Al 0.000 0.000 3.216
Al 2.147 0.000 8.678
Au 2.147 0.000 4.597
! - Density of states at the Fermi level: 0.528 states/eV per atom
! - Total magnetization: 0.000 Bohr magnetons per cell
! - Energy relative to the elements: -0.279 eV/atom